# Ba2FeOsW

A relaxed Ba2FeOsW crystal (GGA-PBE, the Alexandria database). Values from VASP.

Summary:
The calculation puts the total energy at -5.6643 eV per atom. The calculation puts the energy of formation at 1.63 eV/atom. The calculation puts the magnetic moment at 3.17 μB/f.u.

Geometry as Quantum ESPRESSO input:
```
&SYSTEM
  ibrav = 0, nat = 5, ntyp = 4
/
ATOMIC_SPECIES
Os 190.23 Os.upf
Ba 137.33 Ba.upf
W 183.84 W.upf
Fe 55.84 Fe.upf
CELL_PARAMETERS angstrom
-5.3844 2.7874 1.0193
-2.2335 -3.5344 -2.1330
-0.4992 -2.9319 5.3810
ATOMIC_POSITIONS crystal
Os 0.0000 0.5000 0.0000
Ba 0.0000 0.0000 0.5000
Ba 0.5000 0.0000 0.0000
W 0.0000 0.0000 0.0000
Fe 0.5000 0.5000 0.5000
```


# LiReSb2

A relaxed LiReSb2 crystal (GGA-PBE, the Alexandria database). Values from VASP.

Summary:
The calculation puts the uncorrected formation energy at 0.4832 eV/atom. The calculation puts the total energy at -5.1685 eV per atom. The excess energy over the best structure of this formula in the dataset comes out at 447.2 meV per atom. The calculation puts the magnetic moment at 0.46 μB/f.u.

Geometry as Quantum ESPRESSO input:
```
&SYSTEM
  ibrav = 0, nat = 4, ntyp = 3
/
ATOMIC_SPECIES
Li 6.94 Li.upf
Re 186.21 Re.upf
Sb 121.76 Sb.upf
CELL_PARAMETERS angstrom
10.3551 0.0068 0.0040
9.8802 3.0998 0.0040
9.8802 1.5168 2.7033
ATOMIC_POSITIONS crystal
Li 0.4919 0.4919 0.4919
Re 0.7530 0.7530 0.7530
Sb 0.0198 0.0198 0.0198
Sb 0.2353 0.2353 0.2353
```


# LaPr6Cd2

A relaxed LaPr6Cd2 crystal (GGA-PBE, the Alexandria database). Values from VASP.

Summary:
The calculation puts the total energy at -4.0122 eV per atom. The excess energy over the best structure of this formula in the dataset comes out at 61.6 meV per atom. The calculation puts the energy of formation at -0.08 eV/atom. The calculation puts the magnetic moment at 0.00 μB/f.u.

Geometry as Quantum ESPRESSO input:
```
&SYSTEM
  ibrav = 0, nat = 18, ntyp = 3
/
ATOMIC_SPECIES
La 138.91 La.upf
Pr 140.91 Pr.upf
Cd 112.41 Cd.upf
CELL_PARAMETERS angstrom
-6.1070 -0.6061 -1.3448
-0.8778 -9.1991 3.7604
-3.1323 0.9493 9.4246
ATOMIC_POSITIONS crystal
La 0.2500 0.1093 0.8907
La 0.7500 0.8907 0.1093
Pr 0.4910 0.6776 0.4390
Pr 0.0090 0.5610 0.3224
Pr 0.5090 0.3224 0.5610
Pr 0.9910 0.4390 0.6776
Pr 0.6656 0.1031 0.3532
Pr 0.8344 0.6468 0.8969
Pr 0.3344 0.8969 0.6468
Pr 0.1656 0.3532 0.1031
Pr 0.3085 0.7327 0.0314
Pr 0.1915 0.9686 0.2673
Pr 0.6915 0.2673 0.9686
Pr 0.8085 0.0314 0.7327
Cd 0.4048 0.5368 0.7908
Cd 0.0952 0.2092 0.4632
Cd 0.5952 0.4632 0.2092
Cd 0.9048 0.7908 0.5368
```


# ErTm2In3Te6

A relaxed ErTm2In3Te6 crystal (GGA-PBE, the Alexandria database). Values from VASP.

Summary:
The calculation puts the uncorrected formation energy at -0.9469 eV/atom. The calculation puts the total energy at -4.3278 eV per atom. The calculation puts the magnetic moment at 0.00 μB/f.u.

Geometry as Quantum ESPRESSO input:
```
&SYSTEM
  ibrav = 0, nat = 12, ntyp = 4
/
ATOMIC_SPECIES
Er 167.26 Er.upf
Tm 168.93 Tm.upf
In 114.82 In.upf
Te 127.60 Te.upf
CELL_PARAMETERS angstrom
7.5842 -0.0009 0.0002
-3.7910 6.5688 0.0002
-1.2648 -2.1899 8.1153
ATOMIC_POSITIONS crystal
Er 0.0000 0.0000 0.0000
Tm 0.3333 0.6667 0.0000
Tm 0.6667 0.3333 0.0000
In 0.1664 0.8336 0.5000
In 0.8336 0.1664 0.5000
In 0.5000 0.5000 0.5000
Te 0.9280 0.5937 0.7842
Te 0.7376 0.7376 0.2156
Te 0.0720 0.4063 0.2158
Te 0.5937 0.9280 0.7842
Te 0.2624 0.2624 0.7844
Te 0.4063 0.0720 0.2158
```


# Dy8Er2Cd

A relaxed Dy8Er2Cd crystal (GGA-PBE, the Alexandria database). Values from VASP.

Summary:
The calculation puts the total energy at -4.2773 eV per atom. The excess energy over the best structure of this formula in the dataset comes out at 0.0 meV per atom. The calculation puts the energy of formation at -0.02 eV/atom. The calculation puts the magnetic moment at 0.00 μB/f.u.

Geometry as Quantum ESPRESSO input:
```
&SYSTEM
  ibrav = 0, nat = 11, ntyp = 3
/
ATOMIC_SPECIES
Dy 162.50 Dy.upf
Er 167.26 Er.upf
Cd 112.41 Cd.upf
CELL_PARAMETERS angstrom
-2.5668 4.2390 -2.4663
-3.9864 -4.0732 -2.8519
-5.1941 -1.9333 8.2947
ATOMIC_POSITIONS crystal
Dy 0.4205 0.5969 0.8411
Dy 0.6607 0.8791 0.3214
Dy 0.8453 0.8031 0.6907
Dy 0.9558 0.2628 0.9116
Dy 0.1547 0.1969 0.3093
Dy 0.3393 0.1209 0.6786
Dy 0.5795 0.4031 0.1589
Dy 0.0442 0.7372 0.0884
Er 0.7584 0.3341 0.5167
Er 0.2416 0.6659 0.4833
Cd 0.5000 0.0000 0.0000
```


# Nd2CuGe4Pd3

A relaxed Nd2CuGe4Pd3 crystal (GGA-PBE, the Alexandria database). Values from VASP.

Summary:
The calculation puts the total energy at -5.5049 eV per atom. The calculation puts the energy of formation at -0.74 eV/atom. The calculation puts the magnetic moment at 0.00 μB/f.u.

Geometry as Quantum ESPRESSO input:
```
&SYSTEM
  ibrav = 0, nat = 10, ntyp = 4
/
ATOMIC_SPECIES
Nd 144.24 Nd.upf
Cu 63.55 Cu.upf
Ge 72.64 Ge.upf
Pd 106.42 Pd.upf
CELL_PARAMETERS angstrom
-1.6280 3.6468 -1.6246
-3.5389 -2.1303 -1.2357
-4.4106 2.0691 9.0642
ATOMIC_POSITIONS crystal
Nd 0.5000 0.0000 0.2556
Nd 0.0000 0.5000 0.7444
Cu 0.5000 0.5000 0.5000
Ge 0.5000 0.5000 0.0000
Ge 0.0000 0.0000 0.0000
Ge 0.5000 0.0000 0.6295
Ge 0.0000 0.5000 0.3705
Pd 0.0000 0.0000 0.5000
Pd 0.5000 0.0000 0.8703
Pd 0.0000 0.5000 0.1297
```